1.
# Pr7Tm2In2 (PBE, optimized geometry)
data_Pr7Tm2In2
_cell_length_a 3.702
_cell_length_b 10.760
_cell_length_c 10.760
_cell_angle_alpha 63.78
_cell_angle_beta 80.09
_cell_angle_gamma 80.09
_space_group_name_H-M_alt 'P 1'
_space_group_IT_number 1
loop_
_space_group_symop_operation_xyz
'x,y,z'
loop_
_atom_site_label
_atom_site_type_symbol
_atom_site_fract_x
_atom_site_fract_y
_atom_site_fract_z
Pr1 Pr 0.149 0.165 0.536
Pr2 Pr 0.604 0.494 0.297
Pr3 Pr 0.500 0.036 0.964
Pr4 Pr 0.396 0.703 0.506
Pr5 Pr 0.851 0.464 0.835
Pr6 Pr 0.821 0.025 0.333
Pr7 Pr 0.179 0.667 0.975
In1 In 0.000 0.792 0.208
In2 In 0.500 0.342 0.658
Tm1 Tm 0.273 0.310 0.144
Tm2 Tm 0.727 0.856 0.690
# Total energy in eV/atom: -4.39
# Crystal system: orthorhombic



2.
# CsEr4Se6 (PBE, optimized geometry)
data_CsEr4Se6
_cell_length_a 4.129
_cell_length_b 7.172
_cell_length_c 22.007
_cell_angle_alpha 90.00
_cell_angle_beta 90.00
_cell_angle_gamma 106.73
_space_group_name_H-M_alt 'P 1'
_space_group_IT_number 1
loop_
_space_group_symop_operation_xyz
'x,y,z'
loop_
_atom_site_label
_atom_site_type_symbol
_atom_site_fract_x
_atom_site_fract_y
_atom_site_fract_z
Er1 Er 0.132 0.264 0.038
Er2 Er 0.868 0.736 0.538
Er3 Er 0.598 0.195 0.869
Er4 Er 0.402 0.805 0.369
Er5 Er 0.598 0.195 0.631
Er6 Er 0.402 0.805 0.131
Er7 Er 0.132 0.264 0.462
Er8 Er 0.868 0.736 0.962
Cs1 Cs 0.656 0.313 0.250
Cs2 Cs 0.344 0.687 0.750
Se1 Se 0.965 0.930 0.853
Se2 Se 0.641 0.282 0.750
Se3 Se 0.500 0.000 0.000
Se4 Se 0.035 0.070 0.147
Se5 Se 0.770 0.540 0.420
Se6 Se 0.965 0.930 0.647
Se7 Se 0.770 0.540 0.080
Se8 Se 0.359 0.718 0.250
Se9 Se 0.230 0.460 0.580
Se10 Se 0.035 0.070 0.353
Se11 Se 0.500 0.000 0.500
Se12 Se 0.230 0.460 0.920
# Energy relative to the elements, uncorrected in meV/atom: -1736
# Crystal system: orthorhombic



3.
# CaLaMg2Pd (PBE, optimized geometry)
data_CaLaMg2Pd
_cell_length_a 5.297
_cell_length_b 5.297
_cell_length_c 5.394
_cell_angle_alpha 90.00
_cell_angle_beta 90.00
_cell_angle_gamma 90.00
_space_group_name_H-M_alt 'P 1'
_space_group_IT_number 1
loop_
_space_group_symop_operation_xyz
'x,y,z'
loop_
_atom_site_label
_atom_site_type_symbol
_atom_site_fract_x
_atom_site_fract_y
_atom_site_fract_z
Ca1 Ca 0.500 0.500 0.500
Mg1 Mg 0.000 0.500 0.000
Mg2 Mg 0.500 0.000 0.000
La1 La 0.000 0.000 0.500
Pd1 Pd 0.000 0.000 0.000
# Total energy in eV/atom: -3.35
# Crystal system: tetragonal



4.
# CoOsSe2 (PBE, optimized geometry)
data_CoOsSe2
_cell_length_a 7.577
_cell_length_b 7.577
_cell_length_c 7.577
_cell_angle_alpha 23.43
_cell_angle_beta 23.43
_cell_angle_gamma 23.43
_space_group_name_H-M_alt 'P 1'
_space_group_IT_number 1
loop_
_space_group_symop_operation_xyz
'x,y,z'
loop_
_atom_site_label
_atom_site_type_symbol
_atom_site_fract_x
_atom_site_fract_y
_atom_site_fract_z
Se1 Se 0.996 0.996 0.996
Se2 Se 0.504 0.504 0.504
Co1 Co 0.250 0.250 0.250
Os1 Os 0.750 0.750 0.750
# Energy relative to the elements, uncorrected in meV/atom: 417
# Crystal system: trigonal



no.,total magnetization (μB per cell)
1,0.00
2,0.00
3,0.00
4,1.15